PBE-GGA YMn3Zn, optimized geometry; energy relative to the lowest polymorph listed for this composition = 0.000 eV per atom; total DFT energy (no corrections) = -6.411 eV/atom; volume = 20.63 A^3/atom; magnetization = 11.13 Bohr magnetons per cell; theoretical density = 5.138 g cm⁻³
1.0
4.690 0.000 0.000
0.000 4.690 0.000
0.000 0.000 4.690
Zn Mn Y
1 3 1
direct
0.000 0.000 0.000 Zn
0.000 0.000 0.500 Mn
0.000 0.500 0.000 Mn
0.500 0.000 0.000 Mn
0.500 0.500 0.500 Y